The following is a PBE calculation of a geometry-optimized MgBiN2O structure, from the Alexandria database.

Final energy ... -4.88 eV per atom
DOS at the Fermi energy ... 0.4376 states/eV/atom
Spin magnetization ... 3.00 μB/cell
Formation energy without anion corrections ... 0.537 eV per atom

Cell: 4.1190 4.1190 3.8759 Å, 90.00 90.00 90.00°
Space group P4/mmm (No. 123)
Unique sites:
Mg 0.0000 0.0000 0.0000 x1
Bi 0.5000 0.5000 0.5000 x1
N 0.0000 0.5000 0.0000 x2
O 0.0000 0.0000 0.5000 x1